# 1
## Pr3Dy4Tm5 (PBE)

Data for crystalline Pr3Dy4Tm5 at its relaxed geometry.

Results
size of the total moment	0.00	μB per formula unit
E_form	0.242	eV per atom
E above lowest polymorph	0.218	eV/atom
symmetry	No. 12
final energy	-4.35	eV per atom

Cell lengths 8.4922, 8.4922, 9.2863 Å; angles 114.53, 114.53, 40.80 degrees
Closest atoms and distances in Å follow each position.
Fractional positions:
Pr  0.0000  0.0000  0.0000  2 Tm 2.96
Pr  0.2900  0.2900  0.7655  3 Tm 3.08-3.24, 2 Dy 3.29-3.37
Pr  0.7100  0.7100  0.2345  3 Tm 3.08-3.24, 2 Dy 3.29-3.37
Dy  0.2924  0.2924  0.1220  3 Pr 3.29-3.58, 3 Dy 3.61-3.63, 2 Tm 3.61
Dy  0.4174  0.4174  0.5568  2 Dy 3.24-3.63, 1 Pr 3.37, 3 Tm 3.42-3.52
Dy  0.5826  0.5826  0.4432  2 Dy 3.24-3.63, 1 Pr 3.37, 3 Tm 3.42-3.52
Dy  0.7076  0.7076  0.8780  3 Pr 3.29-3.58, 3 Dy 3.61-3.63, 2 Tm 3.61
Tm  0.0719  0.0719  0.6955  2 Pr 3.24-3.49, 2 Tm 3.33-3.60, 2 Dy 3.61
Tm  0.1712  0.1712  0.3861  4 Pr 3.18-3.45, 3 Dy 3.42-3.52
Tm  0.5000  0.5000  0.0000  4 Pr 2.96-3.08
Tm  0.8288  0.8288  0.6139  4 Pr 3.18-3.45, 3 Dy 3.42-3.52
Tm  0.9281  0.9281  0.3045  2 Pr 3.24-3.49, 2 Tm 3.33-3.60, 2 Dy 3.61

# 2
## Pr3Dy5Tm4 (PBE)

Data for crystalline Pr3Dy5Tm4 at its relaxed geometry.

Results
size of the total moment	0.31	μB per formula unit
E_form	0.276	eV per atom
E above lowest polymorph	0.254	eV/atom
symmetry	No. 12
final energy	-4.33	eV per atom

Cell lengths 9.3263, 9.3263, 8.7327 Å; angles 115.49, 115.49, 35.74 degrees
Closest atoms and distances in Å follow each position.
Fractional positions:
Pr  0.0000  0.0000  0.0000  2 Dy 2.86
Pr  0.3144  0.3144  0.7736  2 Dy 2.98-3.32
Pr  0.6856  0.6856  0.2264  2 Dy 2.98-3.32
Dy  0.0951  0.0951  0.4379  2 Pr 3.41-3.66, 4 Tm 3.49-3.54, 1 Dy 3.58
Dy  0.1610  0.1610  0.8910  2 Pr 3.32-3.40, 3 Tm 3.55-3.65, 1 Dy 3.58
Dy  0.5000  0.5000  0.0000  4 Pr 2.86-2.98, 2 Tm 3.00
Dy  0.8390  0.8390  0.1090  2 Pr 3.32-3.40, 3 Tm 3.55-3.65, 1 Dy 3.58
Dy  0.9049  0.9049  0.5621  2 Pr 3.41-3.66, 4 Tm 3.49-3.54, 1 Dy 3.58
Tm  0.2927  0.2927  0.3553  1 Tm 3.27, 3 Pr 3.34-3.49, 3 Dy 3.49-3.65
Tm  0.4638  0.4638  0.3037  1 Dy 3.00, 2 Tm 3.07-3.27
Tm  0.5362  0.5362  0.6963  1 Dy 3.00, 2 Tm 3.07-3.27
Tm  0.7073  0.7073  0.6447  1 Tm 3.27, 3 Pr 3.34-3.49, 3 Dy 3.49-3.65

# 3
## PrDy4Tm6 (PBE)

Data for crystalline PrDy4Tm6 at its relaxed geometry.

Results
size of the total moment	0.00	μB per formula unit
E_form	0.118	eV per atom
E above lowest polymorph	0.000	eV/atom
symmetry	No. 63
final energy	-4.43	eV per atom

Cell lengths 5.5840, 5.5840, 25.4963 Å; angles 90.00, 90.00, 119.78 degrees
Closest atoms and distances in Å follow each position.
Fractional positions:
Pr  0.1685  0.8315  0.7500  3 Tm 3.22-3.23
Pr  0.8315  0.1685  0.2500  3 Tm 3.22-3.23
Dy  0.1656  0.8344  0.0414  8 Tm 3.39-3.65, 1 Dy 3.79
Dy  0.1656  0.8344  0.4586  8 Tm 3.39-3.65, 1 Dy 3.79
Dy  0.4964  0.5036  0.1214  5 Tm 3.10-3.28
Dy  0.4964  0.5036  0.3786  5 Tm 3.10-3.28
Dy  0.5036  0.4964  0.6214  5 Tm 3.10-3.28
Dy  0.5036  0.4964  0.8786  5 Tm 3.10-3.28
Dy  0.8344  0.1656  0.5414  8 Tm 3.39-3.65, 1 Dy 3.79
Dy  0.8344  0.1656  0.9586  8 Tm 3.39-3.65, 1 Dy 3.79
Tm  0.1639  0.8361  0.1805  7 Tm 3.54-3.81, 4 Dy 3.55-3.57, 3 Pr 3.67-3.69
Tm  0.1639  0.8361  0.3195  7 Tm 3.54-3.81, 4 Dy 3.55-3.57, 3 Pr 3.67-3.69
Tm  0.1695  0.8305  0.6016  7 Dy 3.27-3.65
Tm  0.1695  0.8305  0.8984  7 Dy 3.27-3.65
Tm  0.4979  0.5021  0.2500  3 Pr 3.22-3.23, 2 Dy 3.28
Tm  0.5000  0.5000  0.0000  8 Dy 3.10-3.40
Tm  0.5000  0.5000  0.5000  8 Dy 3.10-3.40
Tm  0.5021  0.4979  0.7500  3 Pr 3.22-3.23, 2 Dy 3.28
Tm  0.8305  0.1695  0.1016  7 Dy 3.27-3.65
Tm  0.8305  0.1695  0.3984  7 Dy 3.27-3.65
Tm  0.8361  0.1639  0.6805  7 Tm 3.54-3.81, 4 Dy 3.55-3.57, 3 Pr 3.67-3.69
Tm  0.8361  0.1639  0.8195  7 Tm 3.54-3.81, 4 Dy 3.55-3.57, 3 Pr 3.67-3.69

# 4
## Pr2Dy2Tm7 (PBE)

Data for crystalline Pr2Dy2Tm7 at its relaxed geometry.

Results
size of the total moment	0.00	μB per formula unit
E_form	0.162	eV per atom
symmetry	No. 12
final energy	-4.39	eV per atom

Cell lengths 7.9997, 7.9997, 6.0336 Å; angles 106.32, 106.32, 91.19 degrees
Closest atoms and distances in Å follow each position.
Fractional positions:
Pr  0.2327  0.2327  0.0898  8 Tm 3.33-3.68, 2 Dy 3.49
Pr  0.7673  0.7673  0.9102  8 Tm 3.33-3.68, 2 Dy 3.49
Dy  0.2180  0.7820  0.0000  6 Tm 3.28-3.64, 2 Pr 3.49
Dy  0.7820  0.2180  0.0000  6 Tm 3.28-3.64, 2 Pr 3.49
Tm  0.0000  0.0000  0.5000  4 Tm 3.23, 2 Pr 3.46
Tm  0.0638  0.5921  0.3282  3 Tm 3.22-3.57, 2 Dy 3.28-3.44, 2 Pr 3.33-3.57
Tm  0.4079  0.9362  0.6718  3 Tm 3.22-3.57, 2 Dy 3.28-3.44, 2 Pr 3.33-3.57
Tm  0.4094  0.4094  0.6975  6 Tm 3.39-3.74, 3 Pr 3.40-3.68, 2 Dy 3.64
Tm  0.5906  0.5906  0.3025  6 Tm 3.39-3.74, 3 Pr 3.40-3.68, 2 Dy 3.64
Tm  0.5921  0.0638  0.3282  3 Tm 3.22-3.57, 2 Dy 3.28-3.44, 2 Pr 3.33-3.57
Tm  0.9362  0.4079  0.6718  3 Tm 3.22-3.57, 2 Dy 3.28-3.44, 2 Pr 3.33-3.57

# 5
## PrDyTm6 (PBE)

Data for crystalline PrDyTm6 at its relaxed geometry.

Results
size of the total moment	0.00	μB per formula unit
E_form	0.026	eV per atom
E above lowest polymorph	0.000	eV/atom
symmetry	No. 123
final energy	-4.50	eV per atom

Cell lengths 7.0455, 7.0455, 4.9722 Å; angles 90.00, 90.00, 90.00 degrees
Closest atoms and distances in Å follow each position.
Fractional positions:
Pr  0.0000  0.0000  0.0000  12 Tm 3.52-3.53
Dy  0.5000  0.5000  0.0000  12 Tm 3.50-3.52
Tm  0.0000  0.5000  0.0000  8 Tm 3.52, 2 Dy 3.52, 2 Pr 3.52
Tm  0.2521  0.2521  0.5000  8 Tm 3.49-3.55, 2 Dy 3.50, 2 Pr 3.53
Tm  0.2521  0.7479  0.5000  8 Tm 3.49-3.55, 2 Dy 3.50, 2 Pr 3.53
Tm  0.5000  0.0000  0.0000  8 Tm 3.52, 2 Dy 3.52, 2 Pr 3.52
Tm  0.7479  0.2521  0.5000  8 Tm 3.49-3.55, 2 Dy 3.50, 2 Pr 3.53
Tm  0.7479  0.7479  0.5000  8 Tm 3.49-3.55, 2 Dy 3.50, 2 Pr 3.53

# 6
## Pr5Dy6Tm (PBE)

Data for crystalline Pr5Dy6Tm at its relaxed geometry.

Results
size of the total moment	0.00	μB per formula unit
E_form	0.021	eV per atom
symmetry	No. 71
final energy	-4.64	eV per atom

Cell lengths 9.5521, 9.5521, 9.5521 Å; angles 148.91, 115.80, 73.05 degrees
Closest atoms and distances in Å follow each position.
Fractional positions:
Pr  0.0000  0.0000  0.0000  8 Dy 3.61-3.62, 4 Pr 3.62
Pr  0.1668  0.6668  0.5000  8 Dy 3.60-3.62, 4 Pr 3.62-3.64
Pr  0.3353  0.3353  0.0000  8 Dy 3.57-3.64, 2 Tm 3.60, 2 Pr 3.64
Pr  0.6647  0.6647  0.0000  8 Dy 3.57-3.64, 2 Tm 3.60, 2 Pr 3.64
Pr  0.8332  0.3332  0.5000  8 Dy 3.60-3.62, 4 Pr 3.62-3.64
Dy  0.0855  0.8341  0.2514  1 Tm 3.59, 7 Pr 3.59-3.64, 4 Dy 3.61-3.64
Dy  0.2521  0.5000  0.7521  6 Pr 3.57-3.62, 2 Tm 3.59, 4 Dy 3.61
Dy  0.4173  0.1659  0.2514  1 Tm 3.59, 7 Pr 3.59-3.64, 4 Dy 3.61-3.64
Dy  0.5827  0.8341  0.7486  1 Tm 3.59, 7 Pr 3.59-3.64, 4 Dy 3.61-3.64
Dy  0.7479  0.5000  0.2479  6 Pr 3.57-3.62, 2 Tm 3.59, 4 Dy 3.61
Dy  0.9145  0.1659  0.7486  1 Tm 3.59, 7 Pr 3.59-3.64, 4 Dy 3.61-3.64
Tm  0.5000  0.0000  0.5000  8 Dy 3.59, 4 Pr 3.60

Question: The lowest E_form belongs to which entry?
Answer: Pr5Dy6Tm

Question: final energy of number 3 (PrDy4Tm6)?
Answer: -4.43 eV per atom

Question: Among the records above, which one has the lowest final energy?
Answer: Pr5Dy6Tm

Question: The highest E_form belongs to which entry?
Answer: Pr3Dy5Tm4